Arrangement P

Computed, not measured: crystalline K2TlHgPt at its relaxed geometry at the PBE level of DFT.

## Properties
M_tot: 0.0 μB/f.u.
D(E_F): 0.47 states/eV per atom

Unit cell a=6.203 b=6.203 c=5.267 alpha=90.00 beta=90.00 gamma=90.00
Space group P4/mmm (No. 123)
Asymmetric unit:
K 0.000 0.500 0.000 [2 per cell]
Tl 0.000 0.000 0.500 [1 per cell]
Hg 0.500 0.500 0.500 [1 per cell]
Pt 0.000 0.000 0.000 [1 per cell]

---

Arrangement Q

Computed, not measured: crystalline K2TlHgPt at its relaxed geometry at the PBE level of DFT.

## Properties
M_tot: 0.2 μB/f.u.
D(E_F): 1.07 states/eV per atom

Unit cell a=6.105 b=6.105 c=5.277 alpha=90.00 beta=90.00 gamma=90.00
Space group P4/mmm (No. 123)
Asymmetric unit:
K 0.000 0.500 0.000 [2 per cell]
Tl 0.000 0.000 0.500 [1 per cell]
Hg 0.500 0.500 0.500 [1 per cell]
Pt 0.500 0.500 0.000 [1 per cell]

---

Most stable of them? arrangement P.

---

Arrangement P

Computed, not measured: crystalline KRb3Hg2 at its relaxed geometry at the PBE level of DFT.

## Properties
M_tot: 0.0 μB/f.u.
D(E_F): 0.38 states/eV per atom

Unit cell a=9.9065 b=9.9065 c=24.8380 alpha=90.00 beta=90.00 gamma=120.00
Space group R-3c (No. 167, hexagonal axes)
Asymmetric unit:
K 0.0000 0.0000 0.0000 [6 per cell]
Rb 0.0000 0.2720 0.2500 [18 per cell]
Hg 0.0000 0.0000 0.1421 [12 per cell]

---

Arrangement Q

Computed, not measured: crystalline KRb3Hg2 at its relaxed geometry at the PBE level of DFT.

## Properties
M_tot: 0.0 μB/f.u.
D(E_F): 0.54 states/eV per atom

Unit cell a=21.266 b=5.147 c=14.669 alpha=90.00 beta=121.45 gamma=90.00
Space group C2/m (No. 12)
Asymmetric unit:
K 0.166 0.000 0.250 [4 per cell]
Rb 0.082 0.500 0.432 [4 per cell]
Rb 0.083 0.500 0.942 [4 per cell]
Rb 0.159 0.000 0.741 [4 per cell]
Hg 0.233 0.000 0.044 [4 per cell]
Hg 0.233 0.000 0.544 [4 per cell]

---

Most stable of them? arrangement Q.

---

Arrangement P

Computed, not measured: crystalline KRb6Hg at its relaxed geometry at the PBE level of DFT.

## Properties
M_tot: 0.0 μB/f.u.
D(E_F): 0.81 states/eV per atom

Unit cell a=5.212 b=14.583 c=16.221 alpha=90.00 beta=90.00 gamma=90.00
Space group Amm2 (No. 38)
Asymmetric unit:
K 0.000 0.000 0.000 [2 per cell]
Rb 0.000 0.000 0.493 [2 per cell]
Rb 0.000 0.167 0.763 [4 per cell]
Rb 0.500 0.000 0.246 [2 per cell]
Rb 0.500 0.247 0.529 [4 per cell]
Hg 0.500 0.000 0.661 [2 per cell]

---

Arrangement Q

Computed, not measured: crystalline KRb6Hg at its relaxed geometry at the PBE level of DFT.

## Properties
M_tot: 0.0 μB/f.u.
D(E_F): 1.02 states/eV per atom

Unit cell a=9.343 b=9.363 c=9.433 alpha=64.62 beta=64.40 gamma=64.78
Space group P-1 (No. 2)
Asymmetric unit:
K 0.000 0.000 0.000 [1 per cell]
Rb 0.060 0.502 0.708 [2 per cell]
Rb 0.293 0.937 0.500 [2 per cell]
Rb 0.500 0.293 0.934 [2 per cell]
Hg 0.500 0.500 0.500 [1 per cell]

---

Most stable of them? arrangement P.

---

Arrangement P

Computed, not measured: crystalline KRb4Hg at its relaxed geometry at the PBE level of DFT.

## Properties
M_tot: 0.0 μB/f.u.
D(E_F): 0.68 states/eV per atom

Unit cell a=9.683 b=9.683 c=17.743 alpha=90.00 beta=90.00 gamma=90.00
Space group I4/mcm (No. 140)
Asymmetric unit:
K 0.000 0.000 0.000 [4 per cell]
Rb 0.169 0.331 0.145 [16 per cell]
Hg 0.000 0.000 0.250 [4 per cell]

---

Arrangement Q

Computed, not measured: crystalline KRb4Hg at its relaxed geometry at the PBE level of DFT.

## Properties
M_tot: 0.0 μB/f.u.
D(E_F): 0.74 states/eV per atom

Unit cell a=12.387 b=17.383 c=8.264 alpha=90.00 beta=108.37 gamma=90.00
Space group C2/c (No. 15)
Asymmetric unit:
K 0.000 0.111 0.250 [4 per cell]
Rb 0.106 0.331 0.559 [8 per cell]
Rb 0.237 0.090 0.874 [8 per cell]
Hg 0.000 0.497 0.250 [4 per cell]

---

Most stable of them? arrangement Q.

---

Arrangement P

Computed, not measured: crystalline K3Rb2Hg at its relaxed geometry at the PBE level of DFT.

## Properties
M_tot: 0.0 μB/f.u.
D(E_F): 0.78 states/eV per atom

Unit cell a=6.531 b=19.875 c=11.601 alpha=90.00 beta=90.00 gamma=90.00
Space group Cmmm (No. 65)
Asymmetric unit:
K 0.000 0.000 0.217 [4 per cell]
K 0.000 0.315 0.180 [8 per cell]
Rb 0.000 0.167 0.500 [4 per cell]
Rb 0.000 0.500 0.000 [2 per cell]
Rb 0.000 0.500 0.500 [2 per cell]
Hg 0.000 0.143 0.000 [4 per cell]

---

Arrangement Q

Computed, not measured: crystalline K3Rb2Hg at its relaxed geometry at the PBE level of DFT.

## Properties
M_tot: 0.0 μB/f.u.
D(E_F): 0.72 states/eV per atom

Unit cell a=23.945 b=7.484 c=9.447 alpha=90.00 beta=101.33 gamma=90.00
Space group C2/c (No. 15)
Asymmetric unit:
K 0.000 0.002 0.250 [4 per cell]
K 0.108 0.499 0.554 [8 per cell]
Rb 0.202 0.000 0.101 [8 per cell]
Hg 0.000 0.497 0.750 [4 per cell]

---

Most stable of them? arrangement P.

---

Arrangement P

Computed, not measured: crystalline KRbHg2 at its relaxed geometry at the PBE level of DFT.

## Properties
M_tot: 0.0 μB/f.u.
D(E_F): 0.68 states/eV per atom

Unit cell a=6.150 b=6.150 c=4.323 alpha=90.00 beta=90.00 gamma=90.00
Space group P4/mmm (No. 123)
Asymmetric unit:
K 0.000 0.000 0.000 [1 per cell]
Rb 0.500 0.500 0.000 [1 per cell]
Hg 0.000 0.500 0.500 [2 per cell]

---

Arrangement Q

Computed, not measured: crystalline KRbHg2 at its relaxed geometry at the PBE level of DFT.

## Properties
M_tot: 0.0 μB/f.u.
D(E_F): 0.57 states/eV per atom

Unit cell a=5.035 b=5.248 c=6.951 alpha=90.00 beta=111.05 gamma=90.00
Space group Pm (No. 6)
Asymmetric unit:
K 0.000 0.000 0.000 [1 per cell]
Rb 0.289 0.500 0.580 [1 per cell]
Hg 0.578 0.500 0.156 [1 per cell]
Hg 0.705 0.000 0.411 [1 per cell]

---

Most stable of them? arrangement Q.

---

Arrangement P

Computed, not measured: crystalline K2Rb6Hg at its relaxed geometry at the PBE level of DFT.

## Properties
M_tot: 0.0 μB/f.u.
D(E_F): 0.87 states/eV per atom

Unit cell a=23.018 b=12.719 c=4.968 alpha=90.00 beta=102.41 gamma=90.00
Space group C2/m (No. 12)
Asymmetric unit:
K 0.135 0.000 0.176 [4 per cell]
Rb 0.000 0.281 0.000 [4 per cell]
Rb 0.169 0.331 0.679 [8 per cell]
Hg 0.000 0.500 0.500 [2 per cell]

---

Arrangement Q

Computed, not measured: crystalline K2Rb6Hg at its relaxed geometry at the PBE level of DFT.

## Properties
M_tot: 0.0 μB/f.u.
D(E_F): 0.84 states/eV per atom

Unit cell a=5.191 b=21.274 c=12.228 alpha=90.00 beta=90.00 gamma=90.00
Space group Amm2 (No. 38)
Asymmetric unit:
K 0.000 0.168 0.000 [4 per cell]
Rb 0.000 0.000 0.735 [2 per cell]
Rb 0.000 0.116 0.380 [4 per cell]
Rb 0.500 0.000 0.116 [2 per cell]
Rb 0.500 0.187 0.687 [4 per cell]
Hg 0.500 0.000 0.500 [2 per cell]

---

Most stable of them? arrangement Q.

---

Arrangement P

Computed, not measured: crystalline K2RbHg2 at its relaxed geometry at the PBE level of DFT.

## Properties
M_tot: 0.0 μB/f.u.
D(E_F): 0.59 states/eV per atom

Unit cell a=13.617 b=5.248 c=6.962 alpha=90.00 beta=102.72 gamma=90.00
Space group C2/m (No. 12)
Asymmetric unit:
K 0.152 0.000 0.078 [4 per cell]
Rb 0.000 0.500 0.500 [2 per cell]
Hg 0.224 0.000 0.599 [4 per cell]

---

Arrangement Q

Computed, not measured: crystalline K2RbHg2 at its relaxed geometry at the PBE level of DFT.

## Properties
M_tot: 0.0 μB/f.u.
D(E_F): 0.94 states/eV per atom

Unit cell a=5.607 b=5.607 c=15.000 alpha=90.00 beta=90.00 gamma=90.00
Space group I4/mmm (No. 139)
Asymmetric unit:
K 0.000 0.500 0.250 [4 per cell]
Rb 0.000 0.000 0.000 [2 per cell]
Hg 0.000 0.000 0.402 [4 per cell]

---

Arrangement R

Computed, not measured: crystalline K2RbHg2 at its relaxed geometry at the PBE level of DFT.

## Properties
M_tot: 0.0 μB/f.u.
D(E_F): 1.07 states/eV per atom

Unit cell a=10.211 b=10.211 c=4.204 alpha=90.00 beta=90.00 gamma=90.00
Space group P4/mbm (No. 127)
Asymmetric unit:
K 0.132 0.368 0.000 [4 per cell]
Rb 0.000 0.000 0.000 [2 per cell]
Hg 0.164 0.664 0.500 [4 per cell]

---

Most stable of them? arrangement P.

---

Arrangement P

Computed, not measured: crystalline K2RbHg2 at its relaxed geometry at the PBE level of DFT.

## Properties
M_tot: 0.0 μB/f.u.
D(E_F): 0.85 states/eV per atom

Unit cell a=9.444 b=9.444 c=5.130 alpha=90.00 beta=90.00 gamma=90.00
Space group P4/mbm (No. 127)
Asymmetric unit:
K 0.167 0.333 0.000 [4 per cell]
Rb 0.000 0.000 0.500 [2 per cell]
Hg 0.114 0.614 0.500 [4 per cell]

---

Arrangement Q

Computed, not measured: crystalline K2RbHg2 at its relaxed geometry at the PBE level of DFT.

## Properties
M_tot: 0.0 μB/f.u.
D(E_F): 0.61 states/eV per atom

Unit cell a=6.321 b=6.321 c=13.050 alpha=90.00 beta=90.00 gamma=90.00
Space group I4/mmm (No. 139)
Asymmetric unit:
K 0.000 0.000 0.149 [4 per cell]
Rb 0.000 0.000 0.500 [2 per cell]
Hg 0.000 0.500 0.250 [4 per cell]

---

Most stable of them? arrangement P.

---

Arrangement P

Computed, not measured: crystalline K2Rb2Hg at its relaxed geometry at the PBE level of DFT.

## Properties
M_tot: 0.0 μB/f.u.
D(E_F): 0.53 states/eV per atom

Unit cell a=9.759 b=15.619 c=9.549 alpha=90.00 beta=117.22 gamma=90.00
Space group C2/m (No. 12)
Asymmetric unit:
K 0.235 0.000 0.383 [4 per cell]
K 0.246 0.500 0.133 [4 per cell]
Rb 0.043 0.278 0.761 [8 per cell]
Hg 0.000 0.099 0.000 [4 per cell]

---

Arrangement Q

Computed, not measured: crystalline K2Rb2Hg at its relaxed geometry at the PBE level of DFT.

## Properties
M_tot: 0.0 μB/f.u.
D(E_F): 0.88 states/eV per atom

Unit cell a=6.354 b=6.354 c=31.686 alpha=90.00 beta=90.00 gamma=90.00
Space group I4_1/amd (No. 141, origin choice 2)
Asymmetric unit:
K 0.000 0.250 0.056 [8 per cell]
Rb 0.000 0.250 0.189 [8 per cell]
Hg 0.000 0.250 0.875 [4 per cell]

---

Most stable of them? arrangement P.

---

Arrangement P

Computed, not measured: crystalline K2Rb2Hg at its relaxed geometry at the PBE level of DFT.

## Properties
M_tot: 0.0 μB/f.u.
D(E_F): 0.70 states/eV per atom

Unit cell a=9.676 b=9.676 c=7.417 alpha=90.00 beta=90.00 gamma=90.00
Space group P4/mbm (No. 127)
Asymmetric unit:
K 0.173 0.327 0.000 [4 per cell]
Rb 0.159 0.659 0.500 [4 per cell]
Hg 0.000 0.000 0.500 [2 per cell]

---

Arrangement Q

Computed, not measured: crystalline K2Rb2Hg at its relaxed geometry at the PBE level of DFT.

## Properties
M_tot: 0.0 μB/f.u.
D(E_F): 0.68 states/eV per atom

Unit cell a=9.433 b=9.433 c=7.497 alpha=90.00 beta=90.00 gamma=90.00
Space group P4/mbm (No. 127)
Asymmetric unit:
K 0.158 0.342 0.000 [4 per cell]
Rb 0.179 0.679 0.500 [4 per cell]
Hg 0.000 0.000 0.000 [2 per cell]

---

Arrangement R

Computed, not measured: crystalline K2Rb2Hg at its relaxed geometry at the PBE level of DFT.

## Properties
M_tot: 0.0 μB/f.u.
D(E_F): 0.57 states/eV per atom

Unit cell a=5.452 b=5.452 c=23.956 alpha=90.00 beta=90.00 gamma=90.00
Space group I4/mmm (No. 139)
Asymmetric unit:
K 0.000 0.500 0.250 [4 per cell]
Rb 0.000 0.000 0.086 [4 per cell]
Hg 0.000 0.000 0.500 [2 per cell]

---

Most stable of them? arrangement Q.